Entry 1:
Pr2TmTh3 | GGA-PBE | relaxed

```
12
Lattice="-2.887 6.036 1.094 -6.942 -1.694 -8.979 -0.005 -1.379 7.597" Properties=species:S:1:pos:R:3 pbc="T T T"
Pr -5.200 3.326 -0.560
Pr -4.634 -0.362 0.271
Pr -6.957 -0.473 -5.245
Pr -2.878 3.437 4.957
Tm -2.306 1.123 -1.775
Tm -7.524 3.220 -6.110
Th -1.147 -0.735 1.026
Th -7.244 0.680 -1.861
Th -3.471 -0.847 -4.490
Th -4.915 2.171 -3.943
Th -5.800 -2.338 -2.408
Th -2.591 2.283 1.573
```

The value obtained for the formation energy is 202 meV/atom.

Entry 2:
TiOs2CSe | GGA-PBE | relaxed

```
5
Lattice="4.489 0.000 0.000 0.000 4.652 0.000 0.000 0.000 4.489" Properties=species:S:1:pos:R:3 pbc="T T T"
C 2.245 2.326 2.245
Os 0.000 0.000 2.245
Os 2.245 0.000 0.000
Se 0.000 0.000 0.000
Ti 0.000 2.326 0.000
```

The uncorrected formation energy is 2.370 eV per atom.

Entry 3:
LaFeMo3 | GGA-PBE | relaxed

```
5
Lattice="-2.909 -3.685 0.318 2.662 -2.367 -3.075 2.568 -1.721 3.548" Properties=species:S:1:pos:R:3 pbc="T T T"
Mo 1.331 -1.183 -1.538
Mo 1.284 -0.861 1.774
Mo -1.455 -1.843 0.159
Fe 1.161 -3.887 0.395
La 0.000 0.000 0.000
```

The energy above the most stable polymorph in this dataset is 1826 meV per atom. The value obtained for the formation energy is 2649 meV/atom.